Record 1
VASP calculation (PBE) on a geometry-optimized Ac3LaY2S6 structure.

Values from the calculation:
Its symmetry is C2/m, No. 12.

a = 7.1378 Å, b = 7.1378 Å, c = 7.2916 Å
α = 99.43°, β = 99.43°, γ = 120.10°
Closest atoms and distances in Å follow each position.
Element x y z (fractional)
Ac1 0.1632 0.8368 0.5000  6 S 3.00-3.06
Ac2 0.8368 0.1632 0.5000  6 S 3.00-3.06
Ac3 0.5000 0.5000 0.5000  6 S 2.99-3.06
La1 0.0000 0.0000 0.0000  6 S 2.90-2.91
Y1 0.3329 0.6671 0.0000  6 S 2.80-2.82
Y2 0.6671 0.3329 0.0000  6 S 2.80-2.82
S1 0.9243 0.5798 0.7725  2 Y 2.81-2.82, 1 La 2.91, 3 Ac 3.00-3.06
S2 0.7296 0.7296 0.2231  2 Y 2.80, 1 La 2.90, 3 Ac 2.99-3.05
S3 0.0757 0.4202 0.2275  2 Y 2.81-2.82, 1 La 2.91, 3 Ac 3.00-3.06
S4 0.5798 0.9243 0.7725  2 Y 2.81-2.82, 1 La 2.91, 3 Ac 3.00-3.06
S5 0.2704 0.2704 0.7769  2 Y 2.80, 1 La 2.90, 3 Ac 2.99-3.05
S6 0.4202 0.0757 0.2275  2 Y 2.81-2.82, 1 La 2.91, 3 Ac 3.00-3.06

=====

Record 2
VASP calculation (PBE) on a geometry-optimized Ac4La3YS8 structure.

Values from the calculation:
Its symmetry is R-3m, No. 166.

a = 8.3937 Å, b = 8.4207 Å, c = 8.3935 Å
α = 119.89°, β = 120.00°, γ = 90.00°
Closest atoms and distances in Å follow each position.
Element x y z (fractional)
Ac1 0.5000 0.0000 0.0000  6 S 3.10
Ac2 0.5000 0.0000 0.5000  6 S 3.01-3.02
Ac3 0.0000 0.0000 0.0000  6 S 3.01-3.02
Ac4 0.0000 0.0000 0.5000  6 S 3.01-3.02
La1 0.5000 0.5000 0.0000  6 S 2.93
La2 0.5000 0.5000 0.5000  6 S 2.93
La3 0.0000 0.5000 0.5000  6 S 2.93
Y1 0.0000 0.5000 0.0000  6 S 2.85
S1 0.2393 0.7326 0.9933  1 Y 2.85, 2 La 2.93, 3 Ac 3.02-3.10
S2 0.2393 0.7326 0.4786  1 Y 2.85, 2 La 2.93, 3 Ac 3.02-3.10
S3 0.2535 0.2605 0.5070  3 La 2.93, 3 Ac 3.01
S4 0.7540 0.7326 0.9933  1 Y 2.85, 2 La 2.93, 3 Ac 3.02-3.10
S5 0.2460 0.2674 0.0067  1 Y 2.85, 2 La 2.93, 3 Ac 3.02-3.10
S6 0.7465 0.7395 0.4930  3 La 2.93, 3 Ac 3.01
S7 0.7607 0.2674 0.5214  1 Y 2.85, 2 La 2.93, 3 Ac 3.02-3.10
S8 0.7607 0.2674 0.0067  1 Y 2.85, 2 La 2.93, 3 Ac 3.02-3.10

=====

Record 3
VASP calculation (PBE) on a geometry-optimized Ac2LaYS4 structure.

Values from the calculation:
Its symmetry is P2/m, No. 10.

a = 4.1273 Å, b = 7.2161 Å, c = 7.3013 Å
α = 108.94°, β = 90.00°, γ = 90.00°
Closest atoms and distances in Å follow each position.
Element x y z (fractional)
Ac1 0.5000 0.0000 0.5000  6 S 3.00
Ac2 0.0000 0.5000 0.5000  6 S 3.08
La1 0.5000 0.5000 0.0000  6 S 2.91-2.92
Y1 0.0000 0.0000 0.0000  6 S 2.83
S1 0.5000 0.2326 0.2261  2 Y 2.83, 1 La 2.92, 3 Ac 3.00-3.08
S2 0.5000 0.7674 0.7739  2 Y 2.83, 1 La 2.92, 3 Ac 3.00-3.08
S3 0.0000 0.2464 0.7676  1 Y 2.83, 2 La 2.91, 3 Ac 3.00-3.08
S4 0.0000 0.7536 0.2324  1 Y 2.83, 2 La 2.91, 3 Ac 3.00-3.08

=====

| no. | N(E_F) (states/eV per atom) | formation energy without anion corrections (meV/atom) |
| --- | --- | --- |
| 1 | 0.48 | -2018 |
| 2 | 0.48 | -2055 |
| 3 | 0.60 | -2028 |